Below is crystalline RbAlGeB2 at its relaxed geometry, with properties calculated at the PBE level.

a = 4.376 Å, b = 5.697 Å, c = 4.376 Å
α = 90.00°, β = 90.00°, γ = 90.00°
Atoms (fractional coordinates):
B 0.500 0.000 0.000
B 0.000 0.000 0.500
Al 0.000 0.000 0.000
Rb 0.000 0.500 0.000
Ge 0.500 0.500 0.500

## Properties
SG: No. 123
M_tot, μB/f.u.: 0.00
Formation enthalpy at 0 K, meV per atom: 1674